No. 1
Computed, not measured: a geometry-optimized LiTcAg2 structure at the GGA-PBE level of DFT.

Calculated values
E_form	238	meV/atom
DOS(E_F)	5.03	states/eV/cell
crystal system	orthorhombic
ΔE to the lowest computed polymorph	0.0	kJ per mole of atoms
E	-4.258	eV/atom

a = 3.8023 Å, b = 3.8101 Å, c = 8.7512 Å
α = 90.00°, β = 90.00°, γ = 90.00°
Space group Cmmm (No. 65)
One atom of each set of equivalent atoms:
Li (0.0000, 0.0000, 0.0000) (multiplicity 2)
Tc (0.0000, 0.0000, 0.5000) (multiplicity 2)
Ag (0.0000, 0.5000, 0.2434) (multiplicity 4)

No. 2
Computed, not measured: a geometry-optimized SiHBr structure at the GGA-PBE level of DFT.

Calculated values
crystal system	triclinic
ΔE to the lowest computed polymorph	0.0	kJ per mole of atoms
E	-3.459	eV/atom

a = 4.5061 Å, b = 5.6517 Å, c = 5.8144 Å
α = 78.85°, β = 71.66°, γ = 89.07°
Space group P-1 (No. 2)
One atom of each set of equivalent atoms:
Si (0.2013, 0.1591, 0.0143) (multiplicity 2)
H (0.0443, 0.8749, 0.1432) (multiplicity 2)
Br (0.2044, 0.7039, 0.6803) (multiplicity 2)

No. 3
Computed, not measured: a geometry-optimized Pm2ThBi3 structure at the GGA-PBE level of DFT.

Calculated values
E_form	-831	meV/atom
DOS(E_F)	31.64	states/eV/cell
crystal system	orthorhombic
E	-5.592	eV/atom

a = 9.1565 Å, b = 12.9683 Å, c = 27.5666 Å
α = 90.00°, β = 90.00°, γ = 90.00°
Space group Fddd (No. 70, origin choice 2)
One atom of each set of equivalent atoms:
Pm (0.1250, 0.1250, 0.0418) (multiplicity 16)
Pm (0.1250, 0.1250, 0.3749) (multiplicity 16)
Th (0.1250, 0.1250, 0.5416) (multiplicity 16)
Bi (0.1244, 0.3750, 0.3750) (multiplicity 16)
Bi (0.1255, 0.3748, 0.0417) (multiplicity 32)

No. 4
Computed, not measured: a geometry-optimized YFeBr2 structure at the GGA-PBE level of DFT.

Calculated values
formation energy without anion corrections	-0.520	eV/atom
DOS(E_F)	6.59	states/eV/cell
crystal system	orthorhombic
ΔE to the lowest computed polymorph	6.3	kJ per mole of atoms
E	-5.088	eV/atom

a = 3.7458 Å, b = 4.4273 Å, c = 13.7048 Å
α = 90.00°, β = 90.00°, γ = 90.00°
Space group Immm (No. 71)
One atom of each set of equivalent atoms:
Y (0.0000, 0.0000, 0.0000) (multiplicity 2)
Fe (0.0000, 0.0000, 0.5000) (multiplicity 2)
Br (0.0000, 0.5000, 0.1361) (multiplicity 4)

No. 5
Computed, not measured: a geometry-optimized EuInGaPb structure at the GGA-PBE level of DFT.

Calculated values
E_form	-238	meV/atom
DOS(E_F)	6.69	states/eV/cell
crystal system	cubic
E	-5.175	eV/atom

a = 7.6120 Å, b = 7.6120 Å, c = 7.6120 Å
α = 90.00°, β = 90.00°, γ = 90.00°
Space group F-43m (No. 216)
One atom of each set of equivalent atoms:
Eu (0.0000, 0.0000, 0.0000) (multiplicity 4)
In (0.0000, 0.0000, 0.5000) (multiplicity 4)
Ga (0.2500, 0.2500, 0.7500) (multiplicity 4)
Pb (0.2500, 0.2500, 0.2500) (multiplicity 4)

No. 6
Computed, not measured: a geometry-optimized CaInIr2 structure at the GGA-PBE level of DFT.

Calculated values
E_form	315	meV/atom
DOS(E_F)	6.77	states/eV/cell
crystal system	trigonal
E	-5.300	eV/atom

a = 3.0678 Å, b = 3.0678 Å, c = 28.2508 Å
α = 90.00°, β = 90.00°, γ = 120.00°
Space group R3m (No. 160, hexagonal axes)
One atom of each set of equivalent atoms:
Ca (0.0000, 0.0000, 0.0000) (multiplicity 3)
In (0.0000, 0.0000, 0.7674) (multiplicity 3)
Ir (0.0000, 0.0000, 0.2511) (multiplicity 3)
Ir (0.0000, 0.0000, 0.5118) (multiplicity 3)

No. 7
Computed, not measured: a geometry-optimized NaSr2Zn2 structure at the GGA-PBE level of DFT.

Calculated values
E_form	-1	meV/atom
DOS(E_F)	5.63	states/eV/cell
crystal system	tetragonal
ΔE to the lowest computed polymorph	14.5	kJ per mole of atoms
E	-1.448	eV/atom

a = 9.2956 Å, b = 9.2956 Å, c = 3.8218 Å
α = 90.00°, β = 90.00°, γ = 90.00°
Space group P4/mbm (No. 127)
One atom of each set of equivalent atoms:
Na (0.0000, 0.0000, 0.0000) (multiplicity 2)
Sr (0.1459, 0.3541, 0.0000) (multiplicity 4)
Zn (0.1462, 0.6462, 0.5000) (multiplicity 4)

No. 8
Computed, not measured: a geometry-optimized La6As2S3Br structure at the GGA-PBE level of DFT.

Calculated values
formation energy without anion corrections	-1.859	eV/atom
DOS(E_F)	11.32	states/eV/cell
crystal system	monoclinic
E	-6.269	eV/atom

a = 18.5796 Å, b = 4.2567 Å, c = 8.5512 Å
α = 90.00°, β = 103.39°, γ = 90.00°
Space group C2/m (No. 12)
One atom of each set of equivalent atoms:
La (0.0017, 0.0000, 0.2263) (multiplicity 4)
La (0.1664, 0.5000, 0.0861) (multiplicity 4)
La (0.1752, 0.5000, 0.5835) (multiplicity 4)
As (0.1645, 0.0000, 0.8290) (multiplicity 4)
S (0.0000, 0.5000, 0.0000) (multiplicity 2)
S (0.1651, 0.0000, 0.3337) (multiplicity 4)
Br (0.0000, 0.5000, 0.5000) (multiplicity 2)

No. 9
Computed, not measured: a geometry-optimized Mg14InGa structure at the GGA-PBE level of DFT.

Calculated values
E_form	-26	meV/atom
DOS(E_F)	10.85	states/eV/cell
crystal system	tetragonal
E	-1.782	eV/atom

a = 6.3789 Å, b = 6.3789 Å, c = 8.8330 Å
α = 90.00°, β = 90.00°, γ = 90.00°
Space group P4/mmm (No. 123)
One atom of each set of equivalent atoms:
Mg (0.0000, 0.0000, 0.0000) (multiplicity 1)
Mg (0.0000, 0.5000, 0.0000) (multiplicity 2)
Mg (0.0000, 0.5000, 0.5000) (multiplicity 2)
Mg (0.2469, 0.2469, 0.2563) (multiplicity 8)
Mg (0.5000, 0.5000, 0.0000) (multiplicity 1)
In (0.5000, 0.5000, 0.5000) (multiplicity 1)
Ga (0.0000, 0.0000, 0.5000) (multiplicity 1)

No. 10
Computed, not measured: a geometry-optimized GaPt6O12 structure at the GGA-PBE level of DFT.

Calculated values
formation energy without anion corrections	-0.337	eV/atom
DOS(E_F)	25.35	states/eV/cell
crystal system	trigonal
E	-5.535	eV/atom

a = 9.3066 Å, b = 9.3066 Å, c = 8.6465 Å
α = 90.00°, β = 90.00°, γ = 120.00°
Space group R-3 (No. 148, hexagonal axes)
One atom of each set of equivalent atoms:
Ga (0.0000, 0.0000, 0.0000) (multiplicity 3)
Pt (0.0510, 0.8070, 0.6658) (multiplicity 18)
O (0.0353, 0.7966, 0.4104) (multiplicity 18)
O (0.0776, 0.8712, 0.8885) (multiplicity 18)

No. 11
Computed, not measured: a geometry-optimized Sr2Mg3 structure at the GGA-PBE level of DFT.

Calculated values
E_form	247	meV/atom
DOS(E_F)	5.39	states/eV/cell
crystal system	trigonal
ΔE to the lowest computed polymorph	27.6	kJ per mole of atoms
E	-1.382	eV/atom

a = 5.7291 Å, b = 5.7291 Å, c = 7.1163 Å
α = 90.00°, β = 90.00°, γ = 120.00°
Space group P-3m1 (No. 164)
One atom of each set of equivalent atoms:
Sr (0.3333, 0.6667, 0.3324) (multiplicity 2)
Mg (0.0000, 0.0000, 0.5000) (multiplicity 1)
Mg (0.3333, 0.6667, 0.8407) (multiplicity 2)

No. 12
Computed, not measured: a geometry-optimized Ba6InPdRh structure at the GGA-PBE level of DFT.

Calculated values
E_form	-267	meV/atom
DOS(E_F)	4.41	states/eV/cell
crystal system	trigonal
E	-3.247	eV/atom

a = 8.1227 Å, b = 8.1227 Å, c = 7.7403 Å
α = 90.00°, β = 90.00°, γ = 120.00°
Space group P312 (No. 149)
One atom of each set of equivalent atoms:
Ba (0.0288, 0.3425, 0.2284) (multiplicity 6)
In (0.6667, 0.3333, 0.5000) (multiplicity 1)
Pd (0.0000, 0.0000, 0.0000) (multiplicity 1)
Rh (0.3333, 0.6667, 0.0000) (multiplicity 1)

No. 13
Computed, not measured: a geometry-optimized Sm2YPt3 structure at the GGA-PBE level of DFT.

Calculated values
E_form	-1078	meV/atom
DOS(E_F)	8.60	states/eV/cell
crystal system	orthorhombic
E	-6.749	eV/atom

a = 4.1382 Å, b = 5.8312 Å, c = 12.3605 Å
α = 90.00°, β = 90.00°, γ = 90.00°
Space group Immm (No. 71)
One atom of each set of equivalent atoms:
Sm (0.0000, 0.0000, 0.1673) (multiplicity 4)
Y (0.0000, 0.0000, 0.5000) (multiplicity 2)
Pt (0.0000, 0.5000, 0.1636) (multiplicity 4)
Pt (0.0000, 0.5000, 0.5000) (multiplicity 2)

No. 14
Computed, not measured: a geometry-optimized MgGa2O4 structure at the GGA-PBE level of DFT.

Calculated values
formation energy without anion corrections	-2.135	eV/atom
DOS(E_F)	0.00	states/eV/cell
crystal system	monoclinic
E	-6.061	eV/atom

a = 10.2430 Å, b = 5.9806 Å, c = 14.4936 Å
α = 90.00°, β = 90.10°, γ = 90.00°
Space group Cm (No. 8)
One atom of each set of equivalent atoms:
Mg (0.0000, 0.0000, 0.0000) (multiplicity 2)
Mg (0.0012, 0.5000, 0.4980) (multiplicity 2)
Mg (0.0058, 0.0000, 0.6246) (multiplicity 2)
Mg (0.1669, 0.0000, 0.1662) (multiplicity 2)
Mg (0.3331, 0.0000, 0.3329) (multiplicity 2)
Mg (0.3346, 0.5000, 0.8342) (multiplicity 2)
Ga (0.0826, 0.2468, 0.8345) (multiplicity 4)
Ga (0.1600, 0.5000, 0.0446) (multiplicity 2)
Ga (0.1668, 0.5000, 0.6614) (multiplicity 2)
Ga (0.1736, 0.5000, 0.2861) (multiplicity 2)
Ga (0.2489, 0.2532, 0.4983) (multiplicity 4)
Ga (0.3266, 0.0000, 0.7069) (multiplicity 2)
Ga (0.3408, 0.0000, 0.9571) (multiplicity 2)
Ga (0.4169, 0.2498, 0.1664) (multiplicity 4)
Ga (0.4932, 0.5000, 0.3776) (multiplicity 2)
O (0.0071, 0.0000, 0.7629) (multiplicity 2)
O (0.0078, 0.5000, 0.7506) (multiplicity 2)
O (0.0754, 0.2407, 0.0868) (multiplicity 4)
O (0.0960, 0.2700, 0.5793) (multiplicity 4)
O (0.1620, 0.5000, 0.9102) (multiplicity 2)
O (0.1644, 0.0000, 0.9133) (multiplicity 2)
O (0.1700, 0.5000, 0.4172) (multiplicity 2)
O (0.1711, 0.0000, 0.4209) (multiplicity 2)
O (0.2420, 0.2645, 0.7503) (multiplicity 4)
O (0.2586, 0.2402, 0.2449) (multiplicity 4)
O (0.3215, 0.5000, 0.5781) (multiplicity 2)
O (0.3301, 0.0000, 0.5766) (multiplicity 2)
O (0.3377, 0.0000, 0.0889) (multiplicity 2)
O (0.3383, 0.5000, 0.0869) (multiplicity 2)
O (0.4085, 0.2414, 0.4203) (multiplicity 4)
O (0.4239, 0.2573, 0.9133) (multiplicity 4)
O (0.4948, 0.0000, 0.2448) (multiplicity 2)
O (0.4962, 0.5000, 0.2445) (multiplicity 2)

No. 15
Computed, not measured: a geometry-optimized GdLuBeAu structure at the GGA-PBE level of DFT.

Calculated values
E_form	-336	meV/atom
DOS(E_F)	16.01	states/eV/cell
crystal system	cubic
E	-6.737	eV/atom

a = 7.0279 Å, b = 7.0279 Å, c = 7.0279 Å
α = 90.00°, β = 90.00°, γ = 90.00°
Space group F-43m (No. 216)
One atom of each set of equivalent atoms:
Gd (0.0000, 0.0000, 0.0000) (multiplicity 4)
Lu (0.0000, 0.0000, 0.5000) (multiplicity 4)
Be (0.2500, 0.2500, 0.2500) (multiplicity 4)
Au (0.2500, 0.2500, 0.7500) (multiplicity 4)

No. 16
Computed, not measured: a geometry-optimized HgPd structure at the GGA-PBE level of DFT.

Calculated values
E_form	515	meV/atom
DOS(E_F)	3.86	states/eV/cell
crystal system	cubic
E	-2.232	eV/atom

a = 6.1812 Å, b = 6.1812 Å, c = 6.1812 Å
α = 90.00°, β = 90.00°, γ = 90.00°
Space group F-43m (No. 216)
One atom of each set of equivalent atoms:
Hg (0.0000, 0.0000, 0.0000) (multiplicity 4)
Pd (0.2500, 0.2500, 0.2500) (multiplicity 4)

No. 17
Computed, not measured: a geometry-optimized YHoRh structure at the GGA-PBE level of DFT.

Calculated values
E_form	-646	meV/atom
DOS(E_F)	17.78	states/eV/cell
crystal system	orthorhombic
ΔE to the lowest computed polymorph	0.0	kJ per mole of atoms
E	-6.777	eV/atom

a = 14.4210 Å, b = 3.8207 Å, c = 8.0640 Å
α = 90.00°, β = 90.00°, γ = 90.00°
Space group Pmma (No. 51)
One atom of each set of equivalent atoms:
Y (0.0421, 0.0000, 0.1908) (multiplicity 4)
Y (0.2500, 0.0000, 0.8449) (multiplicity 2)
Ho (0.1180, 0.5000, 0.5599) (multiplicity 4)
Ho (0.2500, 0.5000, 0.1970) (multiplicity 2)
Rh (0.1009, 0.5000, 0.9278) (multiplicity 4)
Rh (0.2500, 0.0000, 0.4571) (multiplicity 2)

No. 18
Computed, not measured: a geometry-optimized TbPrHg structure at the GGA-PBE level of DFT.

Calculated values
E_form	-93	meV/atom
DOS(E_F)	20.27	states/eV/cell
crystal system	cubic
ΔE to the lowest computed polymorph	23.2	kJ per mole of atoms
E	-3.331	eV/atom

a = 7.3746 Å, b = 7.3746 Å, c = 7.3746 Å
α = 90.00°, β = 90.00°, γ = 90.00°
Space group F-43m (No. 216)
One atom of each set of equivalent atoms:
Tb (0.0000, 0.0000, 0.0000) (multiplicity 4)
Pr (0.0000, 0.0000, 0.5000) (multiplicity 4)
Hg (0.2500, 0.2500, 0.2500) (multiplicity 4)

No. 19
Computed, not measured: a geometry-optimized Ta2ZnMoH structure at the GGA-PBE level of DFT.

Calculated values
DOS(E_F)	3.85	states/eV/cell
crystal system	tetragonal
ΔE to the lowest computed polymorph	5.8	kJ per mole of atoms
E	-7.755	eV/atom

a = 4.2914 Å, b = 4.2914 Å, c = 3.7066 Å
α = 90.00°, β = 90.00°, γ = 90.00°
Space group P4/mmm (No. 123)
One atom of each set of equivalent atoms:
Ta (0.0000, 0.5000, 0.0000) (multiplicity 2)
Zn (0.0000, 0.0000, 0.5000) (multiplicity 1)
Mo (0.5000, 0.5000, 0.5000) (multiplicity 1)
H (0.0000, 0.0000, 0.0000) (multiplicity 1)

No. 20
Computed, not measured: a geometry-optimized Gd2MgAg structure at the GGA-PBE level of DFT.

Calculated values
E_form	3	meV/atom
DOS(E_F)	13.34	states/eV/cell
crystal system	trigonal
ΔE to the lowest computed polymorph	19.3	kJ per mole of atoms
E	-8.149	eV/atom

a = 3.5568 Å, b = 3.5568 Å, c = 30.2843 Å
α = 90.00°, β = 90.00°, γ = 120.00°
Space group R-3m (No. 166, hexagonal axes)
One atom of each set of equivalent atoms:
Gd (0.0000, 0.0000, 0.2448) (multiplicity 6)
Mg (0.0000, 0.0000, 0.0000) (multiplicity 3)
Ag (0.0000, 0.0000, 0.5000) (multiplicity 3)

No. 21
Computed, not measured: a geometry-optimized Cd2ReAu structure at the GGA-PBE level of DFT.

Calculated values
E_form	643	meV/atom
DOS(E_F)	5.21	states/eV/cell
crystal system	tetragonal
ΔE to the lowest computed polymorph	30.6	kJ per mole of atoms
E	-3.746	eV/atom

a = 4.2554 Å, b = 4.2554 Å, c = 8.1908 Å
α = 90.00°, β = 90.00°, γ = 90.00°
Space group I-4m2 (No. 119)
One atom of each set of equivalent atoms:
Cd (0.0000, 0.0000, 0.0000) (multiplicity 2)
Cd (0.0000, 0.5000, 0.2500) (multiplicity 2)
Re (0.0000, 0.5000, 0.7500) (multiplicity 2)
Au (0.0000, 0.0000, 0.5000) (multiplicity 2)

No. 22
Computed, not measured: a geometry-optimized Zr2CrPd structure at the GGA-PBE level of DFT.

Calculated values
E_form	413	meV/atom
DOS(E_F)	19.77	states/eV/cell
crystal system	tetragonal
ΔE to the lowest computed polymorph	67.4	kJ per mole of atoms
E	-7.565	eV/atom

a = 4.1361 Å, b = 4.1361 Å, c = 19.0901 Å
α = 90.00°, β = 90.00°, γ = 90.00°
Space group I-42d (No. 122)
One atom of each set of equivalent atoms:
Zr (0.2489, 0.2500, 0.1250) (multiplicity 8)
Cr (0.0000, 0.0000, 0.5000) (multiplicity 4)
Pd (0.0000, 0.0000, 0.0000) (multiplicity 4)

No. 23
Computed, not measured: a geometry-optimized Tl2CuNi structure at the GGA-PBE level of DFT.

Calculated values
E_form	277	meV/atom
DOS(E_F)	2.47	states/eV/cell
crystal system	monoclinic
E	-3.376	eV/atom

a = 12.2640 Å, b = 3.0694 Å, c = 4.4033 Å
α = 90.00°, β = 110.57°, γ = 90.00°
Space group Cm (No. 8)
One atom of each set of equivalent atoms:
Tl (0.0000, 0.0000, 0.0000) (multiplicity 2)
Tl (0.2211, 0.0000, 0.7189) (multiplicity 2)
Cu (0.3268, 0.5000, 0.3246) (multiplicity 2)
Ni (0.0022, 0.5000, 0.5020) (multiplicity 2)